Below is a relaxed La2NdCu2 crystal, with properties calculated at the PBE level.

Values from the calculation:
ΔE_f in eV/atom: -0.0751
Theoretical density in g/cm³: 6.934
VASP energy in eV per atom: -4.638
Total magnetic moment in μB/atom: 0.00
Energy above the most stable polymorph in this dataset in meV/atom: 0.0

Cell: 3.657 5.251 13.821 Å, 90.00 97.63 90.00°
Element x y z (fractional)
La  0.046  0.250  0.093
La  0.229  0.250  0.458
La  0.771  0.750  0.542
La  0.954  0.750  0.907
Nd  0.141  0.750  0.280
Nd  0.859  0.250  0.720
Cu  0.363  0.750  0.726
Cu  0.450  0.250  0.900
Cu  0.550  0.750  0.100
Cu  0.637  0.250  0.274